Entry 1:
A relaxed structure of U6Se12Br, computed with PBE-GGA.

CIF file:
```
data_U6Se12Br
_chemical_formula_sum 'U18 Se36 Br3'
_symmetry_space_group_name_H-M 'R -3 m'
_symmetry_Int_Tables_number 166
_symmetry_space_group_name_Hall '-R 3 2"'
_cell_length_a 13.1934
_cell_length_b 13.1934
_cell_length_c 10.3992
_cell_angle_alpha 90.00
_cell_angle_beta 90.00
_cell_angle_gamma 120.00
loop_
_atom_site_label
_atom_site_type_symbol
_atom_site_fract_x
_atom_site_fract_y
_atom_site_fract_z
U1 U 0.0560 0.5280 0.2751
Se1 Se 0.0000 0.3725 0.5000
Se2 Se 0.0873 0.1747 0.3601
Br1 Br 0.0000 0.0000 0.0000
```

Properties
- Final energy: -6.86 eV per atom

***

Entry 2:
A relaxed structure of USeBr, computed with PBE-GGA.

CIF file:
```
data_USeBr
_chemical_formula_sum 'U1 Se1 Br1'
_symmetry_space_group_name_H-M 'P 3 m 1'
_symmetry_Int_Tables_number 156
_symmetry_space_group_name_Hall 'P 3 -2"'
_cell_length_a 4.8681
_cell_length_b 4.8681
_cell_length_c 3.6769
_cell_angle_alpha 90.00
_cell_angle_beta 90.00
_cell_angle_gamma 120.00
loop_
_atom_site_label
_atom_site_type_symbol
_atom_site_fract_x
_atom_site_fract_y
_atom_site_fract_z
U1 U 0.0000 0.0000 0.0000
Se1 Se 0.6667 0.3333 0.5245
Br1 Br 0.3333 0.6667 0.0378
```

Properties
- Final energy: -6.20 eV per atom

***

Entry 3:
A relaxed structure of USe6Br12, computed with PBE-GGA.

CIF file:
```
data_USe6Br12
_chemical_formula_sum 'U3 Se18 Br36'
_symmetry_space_group_name_H-M 'R -3'
_symmetry_Int_Tables_number 148
_symmetry_space_group_name_Hall '-R 3'
_cell_length_a 11.5957
_cell_length_b 11.5957
_cell_length_c 21.2732
_cell_angle_alpha 90.00
_cell_angle_beta 90.00
_cell_angle_gamma 120.00
loop_
_atom_site_label
_atom_site_type_symbol
_atom_site_fract_x
_atom_site_fract_y
_atom_site_fract_z
U1 U 0.0000 0.0000 0.0000
Se1 Se 0.0331 0.8941 0.3055
Br1 Br 0.0095 0.5519 0.0834
Br2 Br 0.0157 0.1936 0.0722
```

Properties
- Final energy: -3.10 eV per atom

***

Entry 4:
A relaxed structure of USeBr3, computed with PBE-GGA.

CIF file:
```
data_USeBr3
_chemical_formula_sum 'U4 Se4 Br12'
_symmetry_space_group_name_H-M 'P 1 2/c 1'
_symmetry_Int_Tables_number 13
_symmetry_space_group_name_Hall '-P 2yc'
_cell_length_a 7.529
_cell_length_b 7.600
_cell_length_c 14.264
_cell_angle_alpha 90.00
_cell_angle_beta 97.50
_cell_angle_gamma 90.00
loop_
_atom_site_label
_atom_site_type_symbol
_atom_site_fract_x
_atom_site_fract_y
_atom_site_fract_z
U1 U 0.081 0.117 0.138
Se1 Se 0.145 0.379 0.292
Br1 Br 0.136 0.204 0.537
Br2 Br 0.230 0.074 0.803
Br3 Br 0.371 0.260 0.077
```

Properties
- Final energy: -5.08 eV per atom

***

Entry 5:
A relaxed structure of USe2Br, computed with PBE-GGA.

CIF file:
```
data_USe2Br
_chemical_formula_sum 'U2 Se4 Br2'
_symmetry_space_group_name_H-M 'P 1 21/m 1'
_symmetry_Int_Tables_number 11
_symmetry_space_group_name_Hall '-P 2yb'
_cell_length_a 3.896
_cell_length_b 8.547
_cell_length_c 7.425
_cell_angle_alpha 90.00
_cell_angle_beta 105.06
_cell_angle_gamma 90.00
loop_
_atom_site_label
_atom_site_type_symbol
_atom_site_fract_x
_atom_site_fract_y
_atom_site_fract_z
U1 U 0.242 0.250 0.485
Se1 Se 0.162 0.570 0.323
Br1 Br 0.404 0.750 0.811
```

Properties
- Final energy: -6.03 eV per atom
- Energy above the most stable polymorph in this dataset: 0 meV/atom

***

Entry 6:
A relaxed structure of U2Se2Br, computed with PBE-GGA.

CIF file:
```
data_U2Se2Br
_chemical_formula_sum 'U4 Se4 Br2'
_symmetry_space_group_name_H-M 'I m m m'
_symmetry_Int_Tables_number 71
_symmetry_space_group_name_Hall '-I 2 2'
_cell_length_a 3.935
_cell_length_b 5.677
_cell_length_c 12.705
_cell_angle_alpha 90.00
_cell_angle_beta 90.00
_cell_angle_gamma 90.00
loop_
_atom_site_label
_atom_site_type_symbol
_atom_site_fract_x
_atom_site_fract_y
_atom_site_fract_z
U1 U 0.000 0.000 0.179
Se1 Se 0.000 0.500 0.157
Br1 Br 0.000 0.500 0.500
```

Properties
- Final energy: -7.20 eV per atom

***

Entry 7:
A relaxed structure of VSeBr3, computed with PBE-GGA.

CIF file:
```
data_VSeBr3
_chemical_formula_sum 'V1 Se1 Br3'
_symmetry_space_group_name_H-M 'P m -3 m'
_symmetry_Int_Tables_number 221
_symmetry_space_group_name_Hall '-P 4 2 3'
_cell_length_a 5.148
_cell_length_b 5.148
_cell_length_c 5.148
_cell_angle_alpha 90.00
_cell_angle_beta 90.00
_cell_angle_gamma 90.00
loop_
_atom_site_label
_atom_site_type_symbol
_atom_site_fract_x
_atom_site_fract_y
_atom_site_fract_z
V1 V 0.000 0.000 0.000
Se1 Se 0.500 0.500 0.500
Br1 Br 0.000 0.000 0.500
```

Properties
- Final energy: -3.54 eV per atom

***

Entry 8:
A relaxed structure of VSeBr3, computed with PBE-GGA.

CIF file:
```
data_VSeBr3
_chemical_formula_sum 'V8 Se8 Br24'
_symmetry_space_group_name_H-M 'C 1 2/c 1'
_symmetry_Int_Tables_number 15
_symmetry_space_group_name_Hall '-C 2yc'
_cell_length_a 6.979
_cell_length_b 14.409
_cell_length_c 12.617
_cell_angle_alpha 90.00
_cell_angle_beta 95.88
_cell_angle_gamma 90.00
loop_
_atom_site_label
_atom_site_type_symbol
_atom_site_fract_x
_atom_site_fract_y
_atom_site_fract_z
V1 V 0.071 0.060 0.146
Se1 Se 0.149 0.182 0.298
Br1 Br 0.129 0.092 0.536
Br2 Br 0.152 0.372 0.923
Br3 Br 0.233 0.035 0.797
```

Properties
- Final energy: -4.17 eV per atom

***

Entry 9:
A relaxed structure of V2SeBr, computed with PBE-GGA.

CIF file:
```
data_V2SeBr
_chemical_formula_sum 'V6 Se3 Br3'
_symmetry_space_group_name_H-M 'R -3 m'
_symmetry_Int_Tables_number 166
_symmetry_space_group_name_Hall '-R 3 2"'
_cell_length_a 4.0749
_cell_length_b 4.0749
_cell_length_c 18.7594
_cell_angle_alpha 90.00
_cell_angle_beta 90.00
_cell_angle_gamma 120.00
loop_
_atom_site_label
_atom_site_type_symbol
_atom_site_fract_x
_atom_site_fract_y
_atom_site_fract_z
V1 V 0.0000 0.0000 0.1319
Se1 Se 0.0000 0.0000 0.5000
Br1 Br 0.0000 0.0000 0.0000
```

Properties
- Final energy: -6.03 eV per atom
- Energy above the most stable polymorph in this dataset: 0 meV/atom

***

Entry 10:
A relaxed structure of V2SeBr, computed with PBE-GGA.

CIF file:
```
data_V2SeBr
_chemical_formula_sum 'V8 Se4 Br4'
_symmetry_space_group_name_H-M 'I -4 2 d'
_symmetry_Int_Tables_number 122
_symmetry_space_group_name_Hall 'I -4 2bw'
_cell_length_a 5.826
_cell_length_b 5.826
_cell_length_c 12.349
_cell_angle_alpha 90.00
_cell_angle_beta 90.00
_cell_angle_gamma 90.00
loop_
_atom_site_label
_atom_site_type_symbol
_atom_site_fract_x
_atom_site_fract_y
_atom_site_fract_z
V1 V 0.219 0.250 0.125
Se1 Se 0.000 0.000 0.000
Br1 Br 0.000 0.000 0.500
```

Properties
- Final energy: -5.82 eV per atom
- Energy above the most stable polymorph in this dataset: 216 meV/atom

***

Entry 11:
A relaxed structure of V2SeBr, computed with PBE-GGA.

CIF file:
```
data_V2SeBr
_chemical_formula_sum 'V8 Se4 Br4'
_symmetry_space_group_name_H-M 'F m -3 m'
_symmetry_Int_Tables_number 225
_symmetry_space_group_name_Hall '-F 4 2 3'
_cell_length_a 6.348
_cell_length_b 6.348
_cell_length_c 6.348
_cell_angle_alpha 90.00
_cell_angle_beta 90.00
_cell_angle_gamma 90.00
loop_
_atom_site_label
_atom_site_type_symbol
_atom_site_fract_x
_atom_site_fract_y
_atom_site_fract_z
V1 V 0.250 0.250 0.250
Se1 Se 0.000 0.000 0.000
Br1 Br 0.000 0.000 0.500
```

Properties
- Final energy: -5.74 eV per atom
- Energy above the most stable polymorph in this dataset: 293 meV/atom

***

Entry 12:
A relaxed structure of VSe2Br5, computed with PBE-GGA.

CIF file:
```
data_VSe2Br5
_chemical_formula_sum 'V1 Se2 Br5'
_symmetry_space_group_name_H-M 'P 1'
_symmetry_Int_Tables_number 1
_symmetry_space_group_name_Hall 'P 1'
_cell_length_a 6.699
_cell_length_b 6.808
_cell_length_c 8.973
_cell_angle_alpha 91.90
_cell_angle_beta 93.04
_cell_angle_gamma 115.23
loop_
_atom_site_label
_atom_site_type_symbol
_atom_site_fract_x
_atom_site_fract_y
_atom_site_fract_z
V1 V 0.000 0.000 0.000
Se1 Se 0.399 0.702 0.592
Se2 Se 0.555 0.643 0.395
Br1 Br 0.035 0.681 0.516
Br2 Br 0.339 0.990 0.004
Br3 Br 0.723 0.650 0.970
Br4 Br 0.965 0.155 0.223
Br5 Br 0.965 0.199 0.806
```

Properties
- Final energy: -3.49 eV per atom

***

Entry 13:
A relaxed structure of VSeBr, computed with PBE-GGA.

CIF file:
```
data_VSeBr
_chemical_formula_sum 'V1 Se1 Br1'
_symmetry_space_group_name_H-M 'P 3 m 1'
_symmetry_Int_Tables_number 156
_symmetry_space_group_name_Hall 'P 3 -2"'
_cell_length_a 3.6414
_cell_length_b 3.6414
_cell_length_c 6.7038
_cell_angle_alpha 90.00
_cell_angle_beta 90.00
_cell_angle_gamma 120.00
loop_
_atom_site_label
_atom_site_type_symbol
_atom_site_fract_x
_atom_site_fract_y
_atom_site_fract_z
V1 V 0.0000 0.0000 0.0000
Se1 Se 0.6667 0.3333 0.1993
Br1 Br 0.3333 0.6667 0.7530
```

Properties
- Final energy: -5.48 eV per atom

***

Entry 14:
A relaxed structure of VSeBr, computed with PBE-GGA.

CIF file:
```
data_VSeBr
_chemical_formula_sum 'V4 Se4 Br4'
_symmetry_space_group_name_H-M 'C 1 2/m 1'
_symmetry_Int_Tables_number 12
_symmetry_space_group_name_Hall '-C 2y'
_cell_length_a 14.307
_cell_length_b 3.408
_cell_length_c 6.065
_cell_angle_alpha 90.00
_cell_angle_beta 97.14
_cell_angle_gamma 90.00
loop_
_atom_site_label
_atom_site_type_symbol
_atom_site_fract_x
_atom_site_fract_y
_atom_site_fract_z
V1 V 0.246 0.000 0.312
Se1 Se 0.130 0.500 0.378
Br1 Br 0.152 0.000 0.887
```

Properties
- Final energy: -5.52 eV per atom

***

Entry 15:
A relaxed structure of VSeBr, computed with PBE-GGA.

CIF file:
```
data_VSeBr
_chemical_formula_sum 'V2 Se2 Br2'
_symmetry_space_group_name_H-M 'P 1 21/m 1'
_symmetry_Int_Tables_number 11
_symmetry_space_group_name_Hall '-P 2yb'
_cell_length_a 6.066
_cell_length_b 3.405
_cell_length_c 7.043
_cell_angle_alpha 90.00
_cell_angle_beta 90.38
_cell_angle_gamma 90.00
loop_
_atom_site_label
_atom_site_type_symbol
_atom_site_fract_x
_atom_site_fract_y
_atom_site_fract_z
V1 V 0.187 0.250 0.492
Se1 Se 0.085 0.750 0.257
Br1 Br 0.417 0.750 0.697
```

Properties
- Final energy: -5.52 eV per atom

***

Entry 16:
A relaxed structure of VSeBr3, computed with PBE-GGA.

CIF file:
```
data_VSeBr3
_chemical_formula_sum 'V1 Se1 Br3'
_symmetry_space_group_name_H-M 'P m -3 m'
_symmetry_Int_Tables_number 221
_symmetry_space_group_name_Hall '-P 4 2 3'
_cell_length_a 5.413
_cell_length_b 5.413
_cell_length_c 5.413
_cell_angle_alpha 90.00
_cell_angle_beta 90.00
_cell_angle_gamma 90.00
loop_
_atom_site_label
_atom_site_type_symbol
_atom_site_fract_x
_atom_site_fract_y
_atom_site_fract_z
V1 V 0.000 0.000 0.000
Se1 Se 0.500 0.500 0.500
Br1 Br 0.000 0.500 0.500
```

Properties
- Final energy: -2.94 eV per atom

***

Entry 17:
A relaxed structure of VSe4Br, computed with PBE-GGA.

CIF file:
```
data_VSe4Br
_chemical_formula_sum 'V4 Se16 Br4'
_symmetry_space_group_name_H-M 'C 1 2/c 1'
_symmetry_Int_Tables_number 15
_symmetry_space_group_name_Hall '-C 2yc'
_cell_length_a 8.379
_cell_length_b 13.463
_cell_length_c 6.096
_cell_angle_alpha 90.00
_cell_angle_beta 111.32
_cell_angle_gamma 90.00
loop_
_atom_site_label
_atom_site_type_symbol
_atom_site_fract_x
_atom_site_fract_y
_atom_site_fract_z
V1 V 0.000 0.000 0.250
Se1 Se 0.043 0.150 0.023
Se2 Se 0.234 0.069 0.616
Br1 Br 0.000 0.416 0.750
```

Properties
- Final energy: -4.55 eV per atom

***

Entry 18:
A relaxed structure of V2Se4Br, computed with PBE-GGA.

CIF file:
```
data_V2Se4Br
_chemical_formula_sum 'V8 Se16 Br4'
_symmetry_space_group_name_H-M 'C 1 c 1'
_symmetry_Int_Tables_number 9
_symmetry_space_group_name_Hall 'C -2yc'
_cell_length_a 11.009
_cell_length_b 10.986
_cell_length_c 7.847
_cell_angle_alpha 90.00
_cell_angle_beta 134.49
_cell_angle_gamma 90.00
loop_
_atom_site_label
_atom_site_type_symbol
_atom_site_fract_x
_atom_site_fract_y
_atom_site_fract_z
V1 V 0.000 0.021 0.000
V2 V 0.206 0.228 0.999
Se1 Se 0.204 0.006 0.965
Se2 Se 0.281 0.462 0.028
Se3 Se 0.455 0.287 0.029
Se4 Se 0.467 0.257 0.463
Br1 Br 0.068 0.374 0.425
```

Properties
- Final energy: -5.26 eV per atom

***

Entry 19:
A relaxed structure of VWSeBr2, computed with PBE-GGA.

CIF file:
```
data_VWSeBr2
_chemical_formula_sum 'V1 W1 Se1 Br2'
_symmetry_space_group_name_H-M 'P 4/m m m'
_symmetry_Int_Tables_number 123
_symmetry_space_group_name_Hall '-P 4 2'
_cell_length_a 5.240
_cell_length_b 5.240
_cell_length_c 4.839
_cell_angle_alpha 90.00
_cell_angle_beta 90.00
_cell_angle_gamma 90.00
loop_
_atom_site_label
_atom_site_type_symbol
_atom_site_fract_x
_atom_site_fract_y
_atom_site_fract_z
V1 V 0.000 0.000 0.000
W1 W 0.500 0.500 0.500
Se1 Se 0.500 0.500 0.000
Br1 Br 0.000 0.500 0.500
```

Properties
- Final energy: -4.71 eV per atom
- Energy above the most stable polymorph in this dataset: 186 meV/atom

***

Entry 20:
A relaxed structure of VWSe2Br, computed with PBE-GGA.

CIF file:
```
data_VWSe2Br
_chemical_formula_sum 'V1 W1 Se2 Br1'
_symmetry_space_group_name_H-M 'P 4/m m m'
_symmetry_Int_Tables_number 123
_symmetry_space_group_name_Hall '-P 4 2'
_cell_length_a 4.927
_cell_length_b 4.927
_cell_length_c 4.856
_cell_angle_alpha 90.00
_cell_angle_beta 90.00
_cell_angle_gamma 90.00
loop_
_atom_site_label
_atom_site_type_symbol
_atom_site_fract_x
_atom_site_fract_y
_atom_site_fract_z
V1 V 0.000 0.000 0.000
W1 W 0.500 0.500 0.500
Se1 Se 0.000 0.500 0.000
Br1 Br 0.000 0.000 0.500
```

Properties
- Final energy: -5.27 eV per atom
- Energy above the most stable polymorph in this dataset: 0 meV/atom

***

Number 1: size of the total moment 0.579 μB per atom. Number 2: size of the total moment 0.996 μB per atom. Number 3: size of the total moment 0.012 μB per atom. Number 4: size of the total moment 0.400 μB per atom. Number 5: size of the total moment 0.271 μB per atom. Number 6: size of the total moment 1.243 μB per atom. Number 7: size of the total moment 0.905 μB per atom. Number 8: size of the total moment 0.205 μB per atom. Number 9: size of the total moment 0.000 μB per atom. Number 10: size of the total moment 1.753 μB per atom. Number 11: size of the total moment 0.802 μB per atom. Number 12: size of the total moment 0.252 μB per atom. Number 13: size of the total moment 0.667 μB per atom. Number 14: size of the total moment 0.170 μB per atom. Number 15: size of the total moment 0.163 μB per atom. Number 16: size of the total moment 0.844 μB per atom. Number 17: size of the total moment 0.000 μB per atom. Number 18: size of the total moment 0.477 μB per atom. Number 19: size of the total moment 0.264 μB per atom. Number 20: size of the total moment 1.200 μB per atom.